Entry 1:
Lu2AlCo: relaxed, PBE.

Energy relative to the lowest polymorph listed for this composition   0.0 kJ per mole of atoms
Energy relative to the elements   -0.3511 eV/atom

Cell: 3.338 3.338 7.105 Å, 90.00 90.00 90.00°
Space group P4/mmm (No. 123)
Symmetry-distinct sites (fractional):
Lu  0.000  0.000  0.224
Al  0.500  0.500  0.500
Co  0.500  0.500  0.000


Entry 2:
ErAgPtO4: relaxed, PBE.

Formation energy from raw total energies   -1.4628 eV per atom

Cell: 6.433 6.928 9.026 Å, 90.00 90.00 90.00°
Space group Imma (No. 74)
Symmetry-distinct sites (fractional):
Er  0.000  0.000  0.000
Ag  0.000  0.250  0.366
Pt  0.250  0.250  0.750
O  0.000  0.059  0.750
O  0.219  0.250  0.979


Entry 3:
TbTmTe2O8: relaxed, PBE.

Formation energy from raw total energies   -1.9548 eV per atom

Cell: 7.327 7.327 6.845 Å, 90.00 90.00 90.00°
Space group I-4m2 (No. 119)
Symmetry-distinct sites (fractional):
Tb  0.000  0.000  0.000
Tm  0.000  0.500  0.250
Te  0.000  0.000  0.500
Te  0.000  0.500  0.750
O  0.000  0.189  0.297
O  0.000  0.316  0.954


Entry 4:
AlGeP: relaxed, PBE.

Energy relative to the lowest polymorph listed for this composition   0.0 kJ per mole of atoms
Energy relative to the elements   -0.3471 eV/atom

Cell: 3.9496 3.9496 9.7092 Å, 90.00 90.00 120.00°
Space group P3m1 (No. 156)
Symmetry-distinct sites (fractional):
Al  0.0000  0.0000  0.0000
Al  0.3333  0.6667  0.3255
Ge  0.3333  0.6667  0.5846
Ge  0.6667  0.3333  0.6748
P  0.0000  0.0000  0.2447
P  0.6667  0.3333  0.9208


| no. | spin magnetization (Bohr magnetons per cell) | E_tot (eV for the cell shown) |
| --- | --- | --- |
| 1 | 0.50 | -21.3 |
| 2 | 0.00 | -174.1 |
| 3 | 0.00 | -157.0 |
| 4 | 0.00 | -29.6 |